Crystalline VSbRu2 at its relaxed geometry, computed with PBE-GGA.

Geometry as POSCAR:
```
VSbRu2
1.0
-1.856 2.354 -1.541
-3.120 -0.577 2.876
1.745 3.010 2.497
Ru V Sb
2 1 1
Cartesian
0.872 1.505 1.248
-1.560 -0.289 1.438
-0.928 1.177 -0.770
-1.615 2.393 1.916
```

Values from the calculation:
- Space-group type: P4/mmm
- E_form (uncorrected): -15 kJ/mol of formula units



Crystalline Ni2MoC at its relaxed geometry, computed with PBE-GGA.

Geometry as POSCAR:
```
Ni2MoC
1.0
6.384 0.000 0.000
0.000 6.384 0.000
3.192 3.192 2.195
Mo Ni C
2 4 2
Cartesian
0.000 0.000 0.000
6.384 3.192 1.097
4.788 5.429 1.646
2.237 4.788 0.549
7.980 7.338 1.646
4.147 1.596 0.549
3.192 6.384 1.097
3.192 3.192 0.000
```

Values from the calculation:
- Space-group type: I-42d
- Energy relative to the elements: 368 meV per atom



Crystalline KBa3Mg at its relaxed geometry, computed with PBE-GGA.

Geometry as POSCAR:
```
KBa3Mg
1.0
6.871 0.000 0.000
0.000 6.871 0.000
0.000 0.000 6.871
Mg Ba K
1 3 1
Cartesian
3.435 3.435 3.435
0.000 0.000 3.435
3.435 0.000 0.000
0.000 3.435 0.000
0.000 0.000 0.000
```

Values from the calculation:
- Space-group type: Pm-3m
- Polymorph energy (0 for the lowest one): 533 meV/atom
- Energy relative to the elements: 692 meV per atom



Crystalline MgTlBr at its relaxed geometry, computed with PBE-GGA.

Geometry as POSCAR:
```
MgTlBr
1.0
5.115 0.000 0.000
-2.557 4.430 0.000
0.000 0.000 3.806
Tl Mg Br
1 1 1
Cartesian
0.000 2.953 2.536
2.557 1.477 0.633
0.000 0.000 0.637
```

Values from the calculation:
- Space-group type: P-6m2
- E_form (uncorrected): -99 kJ/mol of formula units
- Polymorph energy (0 for the lowest one): 222 meV/atom



Crystalline AlP3W at its relaxed geometry, computed with PBE-GGA.

Geometry as POSCAR:
```
AlP3W
1.0
-2.899 -2.965 1.693
2.314 -0.074 3.834
-2.510 3.356 1.580
Al P W
1 3 1
Cartesian
0.000 0.000 0.000
-1.255 1.678 0.790
1.157 -0.037 1.917
-1.449 -1.483 0.846
-1.547 0.158 3.553
```

Values from the calculation:
- Space-group type: Pm-3m
- Polymorph energy (0 for the lowest one): 840 meV/atom
- Energy relative to the elements: 1404 meV per atom



Crystalline Ba2TeBr at its relaxed geometry, computed with PBE-GGA.

Geometry as POSCAR:
```
Ba2TeBr
1.0
-0.341 4.405 2.072
-3.845 -1.518 2.594
4.205 -2.045 5.038
Ba Br Te
2 1 1
Cartesian
3.680 -1.790 4.409
-0.517 0.677 4.222
1.576 -0.767 1.889
1.586 -0.345 6.741
```

Values from the calculation:
- Space-group type: P4/mmm
- E_form (uncorrected): -652 kJ/mol of formula units
- Polymorph energy (0 for the lowest one): 7 meV/atom